No. 1
GGA-PBEsol MgAu, optimized geometry; total magnetic moment = 0.00 μB per cell; space-group type = I4_1/amd, No. 141; VASP energy = -13.5 eV for the cell shown
1.0
-3.551 1.371 -1.085
-1.689 -2.053 2.932
3.121 3.761 1.759
Mg Au
2 2
Direct
0.750 0.250 0.500 Mg
0.500 0.500 0.000 Mg
0.000 0.000 0.000 Au
0.250 0.750 0.500 Au

***

No. 2
GGA-PBEsol Ca2OsAu, optimized geometry; total magnetic moment = 0.00 μB per cell; space-group type = R-3m, No. 166; VASP energy = -19.2 eV for the cell shown
1.0
-0.239 2.140 2.508
0.015 -1.099 3.118
8.779 1.081 2.093
Os Ca Au
1 2 1
Direct
0.500 0.500 0.500 Os
0.245 0.245 0.265 Ca
0.755 0.755 0.735 Ca
0.000 0.000 0.000 Au

***

No. 3
GGA-PBEsol TbInRh, optimized geometry; total magnetic moment = 0.00 μB per cell; space-group type = P-62m, No. 189; VASP energy = -55.2 eV for the cell shown
1.0
3.894 0.000 0.000
0.000 7.399 0.000
0.000 -3.700 6.408
Tb In Rh
3 3 3
Direct
0.500 0.000 0.593 Tb
0.500 0.593 0.000 Tb
0.500 0.407 0.407 Tb
0.000 0.256 0.000 In
0.000 0.000 0.256 In
0.000 0.744 0.744 In
0.000 0.667 0.333 Rh
0.500 0.000 0.000 Rh
0.000 0.333 0.667 Rh

***

No. 4
GGA-PBEsol Li2GaBiP, optimized geometry; total magnetic moment = 0.00 μB per cell; space-group type = P4/mmm, No. 123; VASP energy = -15.0 eV for the cell shown
1.0
-1.116 -4.348 -1.267
4.503 -1.205 0.169
-0.560 -1.365 5.179
P Bi Ga Li
1 1 1 2
Direct
0.500 0.500 0.500 P
0.000 0.000 0.500 Bi
0.000 0.000 0.000 Ga
0.000 0.500 0.000 Li
0.500 0.000 0.000 Li

***

No. 5
GGA-PBEsol HgAs2, optimized geometry; total magnetic moment = 0.00 μB per cell; space-group type = C2/m, No. 12; VASP energy = -21.3 eV for the cell shown
1.0
3.743 0.000 0.000
-1.872 3.233 0.268
0.000 -0.991 10.979
As Hg
4 2
Direct
0.998 0.996 0.786 As
0.667 0.333 0.091 As
0.333 0.667 0.909 As
0.002 0.004 0.214 As
0.334 0.667 0.406 Hg
0.666 0.333 0.594 Hg

***

No. 6
GGA-PBEsol Fe2CoSi, optimized geometry; E_form (uncorrected) = -352 meV per atom; total magnetic moment = 4.70 μB per cell; space-group type = Pmmm, No. 47; VASP energy = -32.8 eV for the cell shown
1.0
2.813 0.000 0.000
0.000 3.870 0.000
0.000 0.000 3.879
Si Co Fe
1 1 2
Direct
0.500 0.000 0.500 Si
0.000 0.500 0.500 Co
0.000 0.000 0.000 Fe
0.500 0.500 0.000 Fe

***

No. 7
GGA-PBEsol MgNiRu3, optimized geometry; total magnetic moment = 3.56 μB per cell; space-group type = Pm-3m, No. 221; VASP energy = -31.7 eV for the cell shown
1.0
4.397 0.000 0.000
0.000 4.397 0.000
0.000 0.000 4.397
Ru Mg Ni
3 1 1
Direct
0.000 0.500 0.000 Ru
0.000 0.000 0.500 Ru
0.500 0.000 0.000 Ru
0.500 0.500 0.500 Mg
0.000 0.000 0.000 Ni

***

No. 8
GGA-PBEsol K3NaMnCl6, optimized geometry; E_form (uncorrected) = -1680 meV per atom; total magnetic moment = 10.00 μB per cell; space-group type = R-3c, No. 167; VASP energy = -90.2 eV for the cell shown
1.0
-5.206 -5.061 3.972
5.770 -0.822 5.875
-3.218 6.687 3.663
K Na Mn Cl
6 2 2 12
Direct
0.372 0.750 0.128 K
0.128 0.372 0.750 K
0.750 0.128 0.372 K
0.872 0.628 0.250 K
0.250 0.872 0.628 K
0.628 0.250 0.872 K
0.250 0.250 0.250 Na
0.750 0.750 0.750 Na
0.500 0.500 0.500 Mn
0.000 0.000 0.000 Mn
0.546 0.419 0.210 Cl
0.210 0.546 0.419 Cl
0.419 0.210 0.546 Cl
0.046 0.710 0.919 Cl
0.919 0.046 0.710 Cl
0.710 0.919 0.046 Cl
0.454 0.581 0.790 Cl
0.790 0.454 0.581 Cl
0.581 0.790 0.454 Cl
0.954 0.290 0.081 Cl
0.081 0.954 0.290 Cl
0.290 0.081 0.954 Cl

***

No. 9
GGA-PBEsol RbBSe3, optimized geometry; E_form (uncorrected) = -547 meV per atom; total magnetic moment = 0.00 μB per cell; space-group type = P2_1/c, No. 14; VASP energy = -89.3 eV for the cell shown
1.0
-0.141 4.908 3.738
-4.344 1.725 -5.531
-9.573 -4.850 6.006
Rb B Se
4 4 12
Direct
0.293 0.741 0.076 Rb
0.207 0.259 0.576 Rb
0.707 0.259 0.924 Rb
0.793 0.741 0.424 Rb
0.311 0.295 0.230 B
0.189 0.705 0.730 B
0.689 0.705 0.770 B
0.811 0.295 0.270 B
0.814 0.052 0.181 Se
0.686 0.948 0.681 Se
0.186 0.948 0.819 Se
0.314 0.052 0.319 Se
0.654 0.196 0.412 Se
0.846 0.804 0.912 Se
0.346 0.804 0.588 Se
0.154 0.196 0.088 Se
0.625 0.457 0.193 Se
0.875 0.543 0.693 Se
0.375 0.543 0.807 Se
0.125 0.457 0.307 Se

***

No. 10
GGA-PBEsol Ca2TiCdBr, optimized geometry; E_form (uncorrected) = 388 meV per atom; total magnetic moment = 4.26 μB per cell; space-group type = P4/mmm, No. 123; VASP energy = -13.7 eV for the cell shown
1.0
-3.158 1.422 -3.854
-4.523 0.041 3.721
1.052 5.632 1.216
Ca Ti Br Cd
2 1 1 1
Direct
0.000 0.000 0.500 Ca
0.000 0.500 0.000 Ca
0.000 0.000 0.000 Ti
0.500 0.500 0.500 Br
0.500 0.000 0.000 Cd

***

No. 11
GGA-PBEsol Li2NbCo3O8, optimized geometry; E_form (uncorrected) = -1669 meV per atom; total magnetic moment = 0.00 μB per cell; offset from the most stable computed form = 0 meV/atom; space-group type = P4_332, No. 212; VASP energy = -413.3 eV for the cell shown
1.0
8.085 0.000 0.000
0.000 8.085 0.000
0.000 0.000 8.085
Li Nb Co O
8 4 12 32
Direct
0.989 0.989 0.989 Li
0.261 0.261 0.261 Li
0.239 0.739 0.761 Li
0.511 0.011 0.489 Li
0.489 0.511 0.011 Li
0.761 0.239 0.739 Li
0.739 0.761 0.239 Li
0.011 0.489 0.511 Li
0.125 0.875 0.375 Nb
0.375 0.125 0.875 Nb
0.625 0.625 0.625 Nb
0.875 0.375 0.125 Nb
0.126 0.124 0.625 Co
0.125 0.374 0.876 Co
0.124 0.625 0.126 Co
0.376 0.375 0.626 Co
0.375 0.626 0.376 Co
0.374 0.876 0.125 Co
0.626 0.376 0.375 Co
0.625 0.126 0.124 Co
0.624 0.875 0.874 Co
0.876 0.125 0.374 Co
0.875 0.874 0.624 Co
0.874 0.624 0.875 Co
0.114 0.125 0.388 O
0.112 0.886 0.625 O
0.106 0.606 0.894 O
0.125 0.136 0.862 O
0.125 0.388 0.114 O
0.144 0.356 0.644 O
0.138 0.625 0.364 O
0.136 0.862 0.125 O
0.364 0.138 0.625 O
0.362 0.375 0.864 O
0.356 0.644 0.144 O
0.375 0.612 0.614 O
0.375 0.864 0.362 O
0.394 0.394 0.394 O
0.388 0.114 0.125 O
0.386 0.875 0.888 O
0.614 0.375 0.612 O
0.612 0.614 0.375 O
0.606 0.894 0.106 O
0.625 0.364 0.138 O
0.625 0.112 0.886 O
0.644 0.144 0.356 O
0.638 0.875 0.636 O
0.636 0.638 0.875 O
0.864 0.362 0.375 O
0.862 0.125 0.136 O
0.856 0.856 0.856 O
0.875 0.888 0.386 O
0.875 0.636 0.638 O
0.894 0.106 0.606 O
0.888 0.386 0.875 O
0.886 0.625 0.112 O

***

No. 12
GGA-PBEsol Tl2PdC, optimized geometry; total magnetic moment = 0.00 μB per cell; space-group type = Fm-3m, No. 225; VASP energy = -15.8 eV for the cell shown
1.0
-2.988 -2.083 2.857
1.562 -2.350 3.670
-0.666 1.664 4.268
Tl C Pd
2 1 1
Direct
0.250 0.250 0.250 Tl
0.750 0.750 0.750 Tl
0.000 0.000 0.000 C
0.500 0.500 0.500 Pd